[1]
VASP calculation (PBE) on a relaxed Er3P2S crystal.

total moment: 0.01 μB/f.u.
crystal system: trigonal
E above lowest polymorph: 0.0121 eV per atom
symmetry: P-3m1, No. 164

Cell and atoms, written as CIF:
```
data_Er3P2S
_chemical_formula_sum 'Er3 P2 S1'
_symmetry_space_group_name_H-M 'P 1'
_symmetry_Int_Tables_number 1
_cell_length_a 3.940
_cell_length_b 3.940
_cell_length_c 9.636
_cell_angle_alpha 90.00
_cell_angle_beta 90.00
_cell_angle_gamma 120.00
loop_
_symmetry_equiv_pos_as_xyz
'x,y,z'
loop_
_atom_site_label
_atom_site_type_symbol
_atom_site_fract_x
_atom_site_fract_y
_atom_site_fract_z
_atom_site_occupancy
P1 P 0.333 0.667 0.169 1
P2 P 0.667 0.333 0.831 1
S1 S 0.000 0.000 0.500 1
Er1 Er 0.333 0.667 0.675 1
Er2 Er 0.000 0.000 0.000 1
Er3 Er 0.667 0.333 0.325 1
```

---

[2]
VASP calculation (PBE) on a relaxed ErPSe2S2 crystal.

total moment: 0.00 μB/f.u.
crystal system: triclinic
E above lowest polymorph: 0.0000 eV per atom
symmetry: P-1, No. 2

Cell and atoms, written as CIF:
```
data_ErPSe2S2
_chemical_formula_sum 'Er2 P2 Se4 S4'
_symmetry_space_group_name_H-M 'P 1'
_symmetry_Int_Tables_number 1
_cell_length_a 6.499
_cell_length_b 6.778
_cell_length_c 7.693
_cell_angle_alpha 88.04
_cell_angle_beta 86.88
_cell_angle_gamma 84.38
loop_
_symmetry_equiv_pos_as_xyz
'x,y,z'
loop_
_atom_site_label
_atom_site_type_symbol
_atom_site_fract_x
_atom_site_fract_y
_atom_site_fract_z
_atom_site_occupancy
S1 S 0.100 0.503 0.769 1
S2 S 0.428 0.753 0.335 1
S3 S 0.900 0.497 0.231 1
S4 S 0.572 0.247 0.665 1
Se1 Se 0.378 0.274 0.099 1
Se2 Se 0.887 0.989 0.226 1
Se3 Se 0.622 0.726 0.901 1
Se4 Se 0.113 0.011 0.774 1
Er1 Er 0.797 0.293 0.943 1
Er2 Er 0.203 0.707 0.057 1
P1 P 0.309 0.257 0.817 1
P2 P 0.691 0.743 0.183 1
```

---

[3]
VASP calculation (PBE) on a relaxed ErPSe2S2 crystal.

total moment: 0.00 μB/f.u.
crystal system: triclinic
E above lowest polymorph: 0.0043 eV per atom
symmetry: P-1, No. 2

Cell and atoms, written as CIF:
```
data_ErPSe2S2
_chemical_formula_sum 'Er2 P2 Se4 S4'
_symmetry_space_group_name_H-M 'P 1'
_symmetry_Int_Tables_number 1
_cell_length_a 6.606
_cell_length_b 6.729
_cell_length_c 7.825
_cell_angle_alpha 87.31
_cell_angle_beta 87.30
_cell_angle_gamma 80.50
loop_
_symmetry_equiv_pos_as_xyz
'x,y,z'
loop_
_atom_site_label
_atom_site_type_symbol
_atom_site_fract_x
_atom_site_fract_y
_atom_site_fract_z
_atom_site_occupancy
S1 S 0.607 0.714 0.931 1
S2 S 0.393 0.286 0.069 1
S3 S 0.868 0.969 0.190 1
S4 S 0.132 0.031 0.810 1
Se1 Se 0.414 0.781 0.349 1
Se2 Se 0.586 0.219 0.651 1
Se3 Se 0.078 0.528 0.753 1
Se4 Se 0.922 0.472 0.247 1
Er1 Er 0.207 0.704 0.057 1
Er2 Er 0.793 0.296 0.943 1
P1 P 0.689 0.743 0.180 1
P2 P 0.311 0.257 0.820 1
```

---

[4]
VASP calculation (PBE) on a relaxed ErPSe2S2 crystal.

total moment: 0.00 μB/f.u.
crystal system: triclinic
E above lowest polymorph: 0.0049 eV per atom
symmetry: P-1, No. 2

Cell and atoms, written as CIF:
```
data_ErPSe2S2
_chemical_formula_sum 'Er2 P2 Se4 S4'
_symmetry_space_group_name_H-M 'P 1'
_symmetry_Int_Tables_number 1
_cell_length_a 6.569
_cell_length_b 6.842
_cell_length_c 7.813
_cell_angle_alpha 88.15
_cell_angle_beta 87.61
_cell_angle_gamma 81.39
loop_
_symmetry_equiv_pos_as_xyz
'x,y,z'
loop_
_atom_site_label
_atom_site_type_symbol
_atom_site_fract_x
_atom_site_fract_y
_atom_site_fract_z
_atom_site_occupancy
Se1 Se 0.917 0.479 0.248 1
Se2 Se 0.871 0.984 0.212 1
Se3 Se 0.083 0.521 0.752 1
Se4 Se 0.129 0.016 0.788 1
S1 S 0.611 0.712 0.929 1
S2 S 0.389 0.288 0.071 1
S3 S 0.422 0.768 0.331 1
S4 S 0.578 0.232 0.669 1
P1 P 0.317 0.260 0.818 1
P2 P 0.683 0.740 0.182 1
Er1 Er 0.791 0.299 0.943 1
Er2 Er 0.209 0.701 0.057 1
```

---

[5]
VASP calculation (PBE) on a relaxed ErPSe2S2 crystal.

total moment: 0.00 μB/f.u.
crystal system: triclinic
E above lowest polymorph: 0.0014 eV per atom
symmetry: P-1, No. 2

Cell and atoms, written as CIF:
```
data_ErPSe2S2
_chemical_formula_sum 'Er2 P2 Se4 S4'
_symmetry_space_group_name_H-M 'P 1'
_symmetry_Int_Tables_number 1
_cell_length_a 6.553
_cell_length_b 6.748
_cell_length_c 7.868
_cell_angle_alpha 88.51
_cell_angle_beta 87.50
_cell_angle_gamma 81.29
loop_
_symmetry_equiv_pos_as_xyz
'x,y,z'
loop_
_atom_site_label
_atom_site_type_symbol
_atom_site_fract_x
_atom_site_fract_y
_atom_site_fract_z
_atom_site_occupancy
Er1 Er 0.793 0.301 0.945 1
Er2 Er 0.207 0.699 0.055 1
P1 P 0.308 0.262 0.818 1
P2 P 0.692 0.738 0.182 1
S1 S 0.086 0.509 0.772 1
S2 S 0.389 0.284 0.069 1
S3 S 0.611 0.716 0.931 1
S4 S 0.914 0.491 0.228 1
Se1 Se 0.417 0.761 0.350 1
Se2 Se 0.124 0.013 0.785 1
Se3 Se 0.876 0.987 0.215 1
Se4 Se 0.583 0.239 0.650 1
```

---

[6]
VASP calculation (PBE) on a relaxed ErTe2PS2 crystal.

total moment: 0.00 μB/f.u.
crystal system: triclinic
total energy: -0.3534 Ry per atom
symmetry: P-1, No. 2

Cell and atoms, written as CIF:
```
data_ErTe2PS2
_chemical_formula_sum 'Er2 Te4 P2 S4'
_symmetry_space_group_name_H-M 'P 1'
_symmetry_Int_Tables_number 1
_cell_length_a 6.511
_cell_length_b 6.756
_cell_length_c 8.120
_cell_angle_alpha 96.92
_cell_angle_beta 90.47
_cell_angle_gamma 90.40
loop_
_symmetry_equiv_pos_as_xyz
'x,y,z'
loop_
_atom_site_label
_atom_site_type_symbol
_atom_site_fract_x
_atom_site_fract_y
_atom_site_fract_z
_atom_site_occupancy
S1 S 0.002 0.111 0.216 1
S2 S 0.494 0.890 0.783 1
S3 S 0.506 0.110 0.217 1
S4 S 0.998 0.889 0.784 1
Te1 Te 0.255 0.638 0.104 1
Te2 Te 0.745 0.362 0.896 1
Te3 Te 0.754 0.609 0.381 1
Te4 Te 0.246 0.391 0.619 1
Er1 Er 0.749 0.814 0.057 1
Er2 Er 0.251 0.186 0.943 1
P1 P 0.754 0.302 0.192 1
P2 P 0.246 0.698 0.808 1
```

---

total moment of number 3 (ErPSe2S2)? 0.00 μB/f.u.

---

What did the second record say?
VASP calculation (PBE) on a relaxed ErPSe2S2 crystal.

total moment: 0.00 μB/f.u.
crystal system: triclinic
E above lowest polymorph: 0.0000 eV per atom
symmetry: P-1, No. 2

Cell and atoms, written as CIF:
```
data_ErPSe2S2
_chemical_formula_sum 'Er2 P2 Se4 S4'
_symmetry_space_group_name_H-M 'P 1'
_symmetry_Int_Tables_number 1
_cell_length_a 6.499
_cell_length_b 6.778
_cell_length_c 7.693
_cell_angle_alpha 88.04
_cell_angle_beta 86.88
_cell_angle_gamma 84.38
loop_
_symmetry_equiv_pos_as_xyz
'x,y,z'
loop_
_atom_site_label
_atom_site_type_symbol
_atom_site_fract_x
_atom_site_fract_y
_atom_site_fract_z
_atom_site_occupancy
S1 S 0.100 0.503 0.769 1
S2 S 0.428 0.753 0.335 1
S3 S 0.900 0.497 0.231 1
S4 S 0.572 0.247 0.665 1
Se1 Se 0.378 0.274 0.099 1
Se2 Se 0.887 0.989 0.226 1
Se3 Se 0.622 0.726 0.901 1
Se4 Se 0.113 0.011 0.774 1
Er1 Er 0.797 0.293 0.943 1
Er2 Er 0.203 0.707 0.057 1
P1 P 0.309 0.257 0.817 1
P2 P 0.691 0.743 0.183 1
```

---

What is the formula in the first record? Er3P2S

---

Which of these has the highest total moment? Er3P2S